Crystalline CrIrRu2 at its relaxed geometry. Source: Alexandria, functional PBE.

ρ: 13.280 g/cm³
energy relative to the lowest polymorph listed for this composition: 0.497 eV/atom
DFT formation energy: 0.423 eV/atom

Cell: 6.0663 6.0663 6.0663 Å, 90.00 90.00 90.00°
With the nearest neighbours (Å) after each atom.
Space group Fm-3m (No. 225)
Unique sites:
Cr (0.0000, 0.0000, 0.0000) x4  8 Ru 2.63
Ir (0.0000, 0.0000, 0.5000) x4  8 Ru 2.63
Ru (0.2500, 0.2500, 0.2500) x8  4 Cr 2.63, 4 Ir 2.63

Crystalline CrIrRu2 at its relaxed geometry. Source: Alexandria, functional PBE.

ρ: 13.628 g/cm³
energy relative to the lowest polymorph listed for this composition: 0.085 eV/atom
DFT formation energy: 0.011 eV/atom

Cell: 2.6935 2.6935 7.4963 Å, 90.00 90.00 90.00°
With the nearest neighbours (Å) after each atom.
Space group P4mm (No. 99)
Unique sites:
Cr (0.0000, 0.0000, 0.0000) x1  4 Ir 2.60, 4 Ru 2.65, 4 Cr 2.69
Ir (0.5000, 0.5000, 0.2358) x1  4 Cr 2.60, 4 Ir 2.69, 4 Ru 2.77
Ru (0.0000, 0.0000, 0.5039) x1  8 Ru 2.68-2.69, 4 Ir 2.77
Ru (0.5000, 0.5000, 0.7547) x1  4 Cr 2.65, 8 Ru 2.68-2.69

Q: Number 2 is which compound?
A: CrIrRu2